No. 1
Computed, not measured: an optimized crystal structure of NaC2O at the PBE level of DFT.

## Properties
Energy relative to the elements, uncorrected = 2073 meV per atom
Theoretical density = 2.32 Mg/m³
Symmetry = I-42d
DOS(E_F) = 2.4 states/eV per cell

abc: 4.912 4.912 4.912
angles: 113.03 113.03 102.57
Atoms (fractional coordinates):
Na 0.000 0.000 0.000
Na 0.750 0.250 0.500
C 0.231 0.125 0.606
C 0.375 0.769 0.894
C 0.519 0.625 0.394
C 0.875 0.481 0.106
O 0.250 0.750 0.500
O 0.500 0.500 0.000

---

No. 2
Computed, not measured: an optimized crystal structure of NaCO2 at the PBE level of DFT.

## Properties
Energy relative to the elements, uncorrected = -177 meV per atom
Theoretical density = 2.58 Mg/m³
Symmetry = I-42d
DOS(E_F) = 0.8 states/eV per cell

abc: 5.020 5.020 5.020
angles: 122.16 122.16 86.29
Atoms (fractional coordinates):
Na 0.000 0.000 0.000
Na 0.750 0.250 0.500
C 0.250 0.750 0.500
C 0.500 0.500 0.000
O 0.258 0.625 0.133
O 0.375 0.508 0.633
O 0.492 0.125 0.867
O 0.875 0.742 0.367

---

No. 3
Computed, not measured: an optimized crystal structure of Na4CO4 at the PBE level of DFT.

## Properties
Energy relative to the elements, uncorrected = -1400 meV per atom
Theoretical density = 2.44 Mg/m³
Symmetry = R3m
Polymorph energy (0 for the lowest one) = 97.0 meV per atom
DOS(E_F) = 0.0 states/eV per cell

abc: 4.858 4.858 4.858
angles: 91.53 91.53 91.53
Atoms (fractional coordinates):
Na 0.000 0.000 0.000
Na 0.338 0.338 0.786
Na 0.338 0.786 0.338
Na 0.786 0.338 0.338
C 0.712 0.712 0.712
O 0.280 0.280 0.280
O 0.497 0.822 0.822
O 0.822 0.497 0.822
O 0.822 0.822 0.497

---

No. 4
Computed, not measured: an optimized crystal structure of NaCO2 at the PBE level of DFT.

## Properties
Energy relative to the elements, uncorrected = -772 meV per atom
Theoretical density = 2.34 Mg/m³
Symmetry = R-3c
DOS(E_F) = 8.2 states/eV per cell

abc: 7.193 7.193 7.193
angles: 109.56 109.56 109.56
Atoms (fractional coordinates):
Na 0.189 0.750 0.311
Na 0.250 0.689 0.811
Na 0.311 0.189 0.750
Na 0.689 0.811 0.250
Na 0.750 0.311 0.189
Na 0.811 0.250 0.689
C 0.130 0.250 0.370
C 0.250 0.370 0.130
C 0.370 0.130 0.250
C 0.630 0.870 0.750
C 0.750 0.630 0.870
C 0.870 0.750 0.630
O 0.019 0.250 0.481
O 0.134 0.366 0.250
O 0.250 0.134 0.366
O 0.250 0.481 0.019
O 0.366 0.250 0.134
O 0.481 0.019 0.250
O 0.519 0.981 0.750
O 0.634 0.750 0.866
O 0.750 0.519 0.981
O 0.750 0.866 0.634
O 0.866 0.634 0.750
O 0.981 0.750 0.519

---

| no. | magnetization (Bohr magnetons per cell) |
| --- | --- |
| 1 | 1.8 |
| 2 | 0.0 |
| 3 | 0.1 |
| 4 | 3.0 |